[1]
# PBE-GGA NaIn3Ag, relaxed
data_NaIn3Ag
_symmetry_space_group_name_H-M 'P 1'
_symmetry_Int_Tables_number 1
_cell_length_a 7.499
_cell_length_b 5.937
_cell_length_c 6.363
_cell_angle_alpha 90.00
_cell_angle_beta 90.00
_cell_angle_gamma 65.75
loop_
_symmetry_equiv_pos_as_xyz
'x,y,z'
loop_
_atom_site_label
_atom_site_fract_x
_atom_site_fract_y
_atom_site_fract_z
_atom_site_occupancy
Na1 0.912 0.278 0.052 1
Na2 0.648 0.687 0.552 1
In1 0.174 0.159 0.552 1
In2 0.386 0.807 0.052 1
In3 0.482 0.279 0.807 1
In4 0.482 0.279 0.298 1
In5 0.079 0.687 0.307 1
In6 0.079 0.687 0.798 1
Ag1 0.820 0.107 0.552 1
Ag2 0.741 0.859 0.052 1
# * energy above the lowest structure with this stoichiometry: 12 meV per atom
# * energy relative to the elements: -0.06 eV/atom


[2]
# PBE-GGA LaTb2PrY6, relaxed
data_LaTb2PrY6
_symmetry_space_group_name_H-M 'P 1'
_symmetry_Int_Tables_number 1
_cell_length_a 9.692
_cell_length_b 8.877
_cell_length_c 8.877
_cell_angle_alpha 117.38
_cell_angle_beta 93.76
_cell_angle_gamma 93.76
loop_
_symmetry_equiv_pos_as_xyz
'x,y,z'
loop_
_atom_site_label
_atom_site_fract_x
_atom_site_fract_y
_atom_site_fract_z
_atom_site_occupancy
La1 0.250 0.972 0.028 1
La2 0.750 0.028 0.972 1
Tb1 0.451 0.807 0.704 1
Tb2 0.049 0.296 0.193 1
Tb3 0.549 0.193 0.296 1
Tb4 0.951 0.704 0.807 1
Pr1 0.250 0.408 0.592 1
Pr2 0.750 0.592 0.408 1
Y1 0.058 0.119 0.749 1
Y2 0.442 0.251 0.881 1
Y3 0.942 0.881 0.251 1
Y4 0.558 0.749 0.119 1
Y5 0.321 0.979 0.435 1
Y6 0.179 0.565 0.021 1
Y7 0.679 0.021 0.565 1
Y8 0.821 0.435 0.979 1
Y9 0.116 0.705 0.488 1
Y10 0.384 0.512 0.295 1
Y11 0.884 0.295 0.512 1
Y12 0.616 0.488 0.705 1
# * energy relative to the elements: 0.12 eV/atom


[3]
# PBE-GGA LiAc2Pb3, relaxed
data_LiAc2Pb3
_symmetry_space_group_name_H-M 'P 1'
_symmetry_Int_Tables_number 1
_cell_length_a 5.040
_cell_length_b 6.781
_cell_length_c 6.596
_cell_angle_alpha 74.34
_cell_angle_beta 67.54
_cell_angle_gamma 68.18
loop_
_symmetry_equiv_pos_as_xyz
'x,y,z'
loop_
_atom_site_label
_atom_site_fract_x
_atom_site_fract_y
_atom_site_fract_z
_atom_site_occupancy
Li1 0.173 0.401 0.253 1
Ac1 0.547 0.185 0.721 1
Ac2 0.446 0.802 0.306 1
Pb1 0.869 0.586 0.675 1
Pb2 0.809 0.230 0.152 1
Pb3 0.155 0.796 0.894 1
# * energy above the lowest structure with this stoichiometry: 0 meV per atom
# * energy relative to the elements: -0.44 eV/atom


[4]
# PBE-GGA Sr3LiPd, relaxed
data_Sr3LiPd
_symmetry_space_group_name_H-M 'P 1'
_symmetry_Int_Tables_number 1
_cell_length_a 4.993
_cell_length_b 4.993
_cell_length_c 19.297
_cell_angle_alpha 90.00
_cell_angle_beta 90.00
_cell_angle_gamma 120.00
loop_
_symmetry_equiv_pos_as_xyz
'x,y,z'
loop_
_atom_site_label
_atom_site_fract_x
_atom_site_fract_y
_atom_site_fract_z
_atom_site_occupancy
Sr1 0.000 0.000 0.250 1
Sr2 0.000 0.000 0.750 1
Sr3 0.333 0.667 0.926 1
Sr4 0.333 0.667 0.574 1
Sr5 0.667 0.333 0.426 1
Sr6 0.667 0.333 0.074 1
Pd1 0.000 0.000 0.000 1
Pd2 0.000 0.000 0.500 1
Li1 0.333 0.667 0.750 1
Li2 0.667 0.333 0.250 1
# * energy above the lowest structure with this stoichiometry: 338 meV per atom
# * energy relative to the elements: 0.06 eV/atom


[5]
# PBE-GGA AcYSi2Au2, relaxed
data_AcYSi2Au2
_symmetry_space_group_name_H-M 'P 1'
_symmetry_Int_Tables_number 1
_cell_length_a 4.378
_cell_length_b 4.378
_cell_length_c 8.301
_cell_angle_alpha 90.00
_cell_angle_beta 90.00
_cell_angle_gamma 120.00
loop_
_symmetry_equiv_pos_as_xyz
'x,y,z'
loop_
_atom_site_label
_atom_site_fract_x
_atom_site_fract_y
_atom_site_fract_z
_atom_site_occupancy
Ac1 0.000 0.000 0.000 1
Y1 0.000 0.000 0.500 1
Si1 0.667 0.333 0.266 1
Si2 0.333 0.667 0.734 1
Au1 0.667 0.333 0.720 1
Au2 0.333 0.667 0.280 1
# * raw formation energy: -0.816 eV/atom


[6]
# PBE-GGA Ce2ThOsN5, relaxed
data_Ce2ThOsN5
_symmetry_space_group_name_H-M 'P 1'
_symmetry_Int_Tables_number 1
_cell_length_a 5.816
_cell_length_b 6.593
_cell_length_c 6.593
_cell_angle_alpha 90.00
_cell_angle_beta 90.00
_cell_angle_gamma 90.00
loop_
_symmetry_equiv_pos_as_xyz
'x,y,z'
loop_
_atom_site_label
_atom_site_fract_x
_atom_site_fract_y
_atom_site_fract_z
_atom_site_occupancy
Ce1 0.500 0.670 0.170 1
Ce2 0.500 0.170 0.330 1
Ce3 0.500 0.830 0.670 1
Ce4 0.500 0.330 0.830 1
Th1 0.000 0.500 0.500 1
Th2 0.000 0.000 0.000 1
Os1 0.000 0.000 0.500 1
Os2 0.000 0.500 0.000 1
N1 0.500 0.500 0.500 1
N2 0.500 0.000 0.000 1
N3 0.231 0.153 0.653 1
N4 0.231 0.847 0.347 1
N5 0.231 0.347 0.153 1
N6 0.231 0.653 0.847 1
N7 0.769 0.153 0.653 1
N8 0.769 0.653 0.847 1
N9 0.769 0.847 0.347 1
N10 0.769 0.347 0.153 1
# * raw formation energy: -0.953 eV/atom